Version one
Crystalline AgP2 at its relaxed geometry, computed with PBE.

Cell lengths 9.390, 9.390, 3.232 Å; angles 90.00, 90.00, 158.34 degrees
Fractional positions:
Ag 0.118 0.882 0.750
Ag 0.882 0.118 0.250
P 0.257 0.743 0.250
P 0.459 0.541 0.750
P 0.541 0.459 0.250
P 0.743 0.257 0.750

Values from the calculation:
D(E_F) = 0.179 states/eV/atom
Magnetization = 0.0 μB/f.u.

Version two
Crystalline AgP2 at its relaxed geometry, computed with PBE.

Cell lengths 4.591, 4.591, 7.732 Å; angles 90.52, 90.52, 41.37 degrees
Fractional positions:
Ag 0.146 0.146 0.384
Ag 0.854 0.854 0.616
P 0.116 0.116 0.932
P 0.419 0.419 0.266
P 0.581 0.581 0.734
P 0.884 0.884 0.068

Values from the calculation:
D(E_F) = 0.258 states/eV/atom
Magnetization = 0.0 μB/f.u.

Q: Which of them is the most stable? A: version two.